No. 1
# LaZrAl2 (PBE, optimized geometry)
data_LaZrAl2
_space_group_name_H-M_alt 'C 1 2/m 1'
_space_group_IT_number 12
_cell_length_a 6.3693
_cell_length_b 8.6603
_cell_length_c 3.2750
_cell_angle_alpha 90.00
_cell_angle_beta 90.12
_cell_angle_gamma 90.00
loop_
_space_group_symop_operation_xyz
'x,y,z'
'-x,-y,-z'
'-x,y,-z'
'x,-y,z'
'x+1/2,y+1/2,z'
'-x+1/2,-y+1/2,-z'
'-x+1/2,y+1/2,-z'
'x+1/2,-y+1/2,z'
loop_
_atom_site_label
_atom_site_type_symbol
_atom_site_fract_x
_atom_site_fract_y
_atom_site_fract_z
La1 La 0.0000 0.0000 0.0000
Zr1 Zr 0.0000 0.5000 0.0000
Al1 Al 0.2500 0.2500 0.5000
# Total DFT energy (no corrections) in eV per atom: -5.47
# Volume in Å³/atom: 22.58
# ΔE_f in eV/atom: -0.23
# Energy relative to the lowest polymorph listed for this composition in meV per atom: 133



No. 2
# LaZrAl2 (PBE, optimized geometry)
data_LaZrAl2
_space_group_name_H-M_alt 'I m m 2'
_space_group_IT_number 44
_cell_length_a 3.9708
_cell_length_b 4.5794
_cell_length_c 10.4880
_cell_angle_alpha 90.00
_cell_angle_beta 90.00
_cell_angle_gamma 90.00
loop_
_space_group_symop_operation_xyz
'x,y,z'
'-x,-y,z'
'-x,y,z'
'x,-y,z'
'x+1/2,y+1/2,z+1/2'
'-x+1/2,-y+1/2,z+1/2'
'-x+1/2,y+1/2,z+1/2'
'x+1/2,-y+1/2,z+1/2'
loop_
_atom_site_label
_atom_site_type_symbol
_atom_site_fract_x
_atom_site_fract_y
_atom_site_fract_z
La1 La 0.0000 0.0000 0.0000
Zr1 Zr 0.0000 0.5000 0.7652
Al1 Al 0.0000 0.0000 0.5747
Al2 Al 0.0000 0.5000 0.2420
# Total DFT energy (no corrections) in eV per atom: -5.46
# Volume in Å³/atom: 23.84
# ΔE_f in eV/atom: -0.22
# Energy relative to the lowest polymorph listed for this composition in meV per atom: 143



No. 3
# La2ZrAl2 (PBE, optimized geometry)
data_La2ZrAl2
_space_group_name_H-M_alt 'P 4/m b m'
_space_group_IT_number 127
_space_group_name_Hall '-P 4 2ab'
_cell_length_a 7.6280
_cell_length_b 7.6280
_cell_length_c 4.7552
_cell_angle_alpha 90.00
_cell_angle_beta 90.00
_cell_angle_gamma 90.00
loop_
_atom_site_label
_atom_site_type_symbol
_atom_site_fract_x
_atom_site_fract_y
_atom_site_fract_z
La1 La 0.1732 0.3268 0.0000
Zr1 Zr 0.0000 0.0000 0.5000
Al1 Al 0.1265 0.6265 0.5000
# Total DFT energy (no corrections) in eV per atom: -5.35
# Volume in Å³/atom: 27.67
# ΔE_f in eV/atom: -0.17
# Energy relative to the lowest polymorph listed for this composition in meV per atom: 0



No. 4
# LaZrAl2 (PBE, optimized geometry)
data_LaZrAl2
_space_group_name_H-M_alt 'P 4 m m'
_space_group_IT_number 99
_cell_length_a 3.2800
_cell_length_b 3.2800
_cell_length_c 8.5381
_cell_angle_alpha 90.00
_cell_angle_beta 90.00
_cell_angle_gamma 90.00
loop_
_space_group_symop_operation_xyz
'x,y,z'
'-y,x,z'
'-x,-y,z'
'y,-x,z'
'-x,y,z'
'y,x,z'
'x,-y,z'
'-y,-x,z'
loop_
_atom_site_label
_atom_site_type_symbol
_atom_site_fract_x
_atom_site_fract_y
_atom_site_fract_z
La1 La 0.0000 0.0000 0.0000
Zr1 Zr 0.5000 0.5000 0.3386
Al1 Al 0.0000 0.0000 0.5524
Al2 Al 0.5000 0.5000 0.7296
# Total DFT energy (no corrections) in eV per atom: -5.35
# Volume in Å³/atom: 22.96
# ΔE_f in eV/atom: -0.11
# Energy relative to the lowest polymorph listed for this composition in meV per atom: 248



No. 5
# LaZrAl2 (PBE, optimized geometry)
data_LaZrAl2
_space_group_name_H-M_alt 'I -4 2 d'
_space_group_IT_number 122
_space_group_name_Hall 'I -4 2bw'
_cell_length_a 4.7423
_cell_length_b 4.7423
_cell_length_c 19.7947
_cell_angle_alpha 90.00
_cell_angle_beta 90.00
_cell_angle_gamma 90.00
loop_
_atom_site_label
_atom_site_type_symbol
_atom_site_fract_x
_atom_site_fract_y
_atom_site_fract_z
La1 La 0.0000 0.0000 0.0000
Zr1 Zr 0.0000 0.0000 0.5000
Al1 Al 0.1251 0.2500 0.6250
# Total DFT energy (no corrections) in eV per atom: -4.96
# Volume in Å³/atom: 27.82
# ΔE_f in eV/atom: 0.28
# Energy relative to the lowest polymorph listed for this composition in meV per atom: 645



No. 6
# LaZr2Al2 (PBE, optimized geometry)
data_LaZr2Al2
_space_group_name_H-M_alt 'P 4/m b m'
_space_group_IT_number 127
_space_group_name_Hall '-P 4 2ab'
_cell_length_a 8.2334
_cell_length_b 8.2334
_cell_length_c 3.3550
_cell_angle_alpha 90.00
_cell_angle_beta 90.00
_cell_angle_gamma 90.00
loop_
_atom_site_label
_atom_site_type_symbol
_atom_site_fract_x
_atom_site_fract_y
_atom_site_fract_z
La1 La 0.0000 0.0000 0.0000
Zr1 Zr 0.1764 0.3236 0.5000
Al1 Al 0.1157 0.6157 0.0000
# Total DFT energy (no corrections) in eV per atom: -6.20
# Volume in Å³/atom: 22.74
# ΔE_f in eV/atom: -0.30
# Energy relative to the lowest polymorph listed for this composition in meV per atom: 0



No. 7
# LaZrAl4 (PBE, optimized geometry)
data_LaZrAl4
_space_group_name_H-M_alt 'F -4 3 m'
_space_group_IT_number 216
_space_group_name_Hall 'F -4 2 3'
_cell_length_a 7.8582
_cell_length_b 7.8582
_cell_length_c 7.8582
_cell_angle_alpha 90.00
_cell_angle_beta 90.00
_cell_angle_gamma 90.00
loop_
_atom_site_label
_atom_site_type_symbol
_atom_site_fract_x
_atom_site_fract_y
_atom_site_fract_z
La1 La 0.0000 0.0000 0.0000
Zr1 Zr 0.2500 0.2500 0.7500
Al1 Al 0.1247 0.1247 0.3753
# Total DFT energy (no corrections) in eV per atom: -5.17
# Volume in Å³/atom: 20.22
# ΔE_f in eV/atom: -0.43



No. 8
# LaZrAl2 (PBE, optimized geometry)
data_LaZrAl2
_space_group_name_H-M_alt 'R 3 m'
_space_group_IT_number 160
_space_group_name_Hall 'R 3 -2"'
_cell_length_a 3.1712
_cell_length_b 3.1712
_cell_length_c 31.5810
_cell_angle_alpha 90.00
_cell_angle_beta 90.00
_cell_angle_gamma 120.00
loop_
_atom_site_label
_atom_site_type_symbol
_atom_site_fract_x
_atom_site_fract_y
_atom_site_fract_z
La1 La 0.0000 0.0000 0.0000
Zr1 Zr 0.0000 0.0000 0.2357
Al1 Al 0.0000 0.0000 0.4930
Al2 Al 0.0000 0.0000 0.7566
# Total DFT energy (no corrections) in eV per atom: -5.16
# Volume in Å³/atom: 22.92
# ΔE_f in eV/atom: 0.09
# Energy relative to the lowest polymorph listed for this composition in meV per atom: 446



No. 9
# La2ZrAl2 (PBE, optimized geometry)
data_La2ZrAl2
_space_group_name_H-M_alt 'I 4/m m m'
_space_group_IT_number 139
_space_group_name_Hall '-I 4 2'
_cell_length_a 4.7638
_cell_length_b 4.7638
_cell_length_c 12.4560
_cell_angle_alpha 90.00
_cell_angle_beta 90.00
_cell_angle_gamma 90.00
loop_
_atom_site_label
_atom_site_type_symbol
_atom_site_fract_x
_atom_site_fract_y
_atom_site_fract_z
La1 La 0.0000 0.0000 0.1138
Zr1 Zr 0.0000 0.0000 0.5000
Al1 Al 0.0000 0.5000 0.2500
# Total DFT energy (no corrections) in eV per atom: -4.71
# Volume in Å³/atom: 28.27
# ΔE_f in eV/atom: 0.47
# Energy relative to the lowest polymorph listed for this composition in meV per atom: 638



No. 10
# LaZr2Al2 (PBE, optimized geometry)
data_LaZr2Al2
_space_group_name_H-M_alt 'I 4/m m m'
_space_group_IT_number 139
_space_group_name_Hall '-I 4 2'
_cell_length_a 4.5947
_cell_length_b 4.5947
_cell_length_c 11.9396
_cell_angle_alpha 90.00
_cell_angle_beta 90.00
_cell_angle_gamma 90.00
loop_
_atom_site_label
_atom_site_type_symbol
_atom_site_fract_x
_atom_site_fract_y
_atom_site_fract_z
La1 La 0.0000 0.0000 0.0000
Zr1 Zr 0.0000 0.0000 0.3794
Al1 Al 0.0000 0.5000 0.2500
# Total DFT energy (no corrections) in eV per atom: -5.83
# Volume in Å³/atom: 25.21
# ΔE_f in eV/atom: 0.07
# Energy relative to the lowest polymorph listed for this composition in meV per atom: 367



No. 11
# LaZr2Al2 (PBE, optimized geometry)
data_LaZr2Al2
_space_group_name_H-M_alt 'P 4/m b m'
_space_group_IT_number 127
_space_group_name_Hall '-P 4 2ab'
_cell_length_a 8.6139
_cell_length_b 8.6139
_cell_length_c 3.0632
_cell_angle_alpha 90.00
_cell_angle_beta 90.00
_cell_angle_gamma 90.00
loop_
_atom_site_label
_atom_site_type_symbol
_atom_site_fract_x
_atom_site_fract_y
_atom_site_fract_z
La1 La 0.0000 0.0000 0.0000
Zr1 Zr 0.1244 0.3756 0.0000
Al1 Al 0.1706 0.6706 0.5000
# Total DFT energy (no corrections) in eV per atom: -6.16
# Volume in Å³/atom: 22.73
# ΔE_f in eV/atom: -0.26
# Energy relative to the lowest polymorph listed for this composition in meV per atom: 37



No. 12
# La2ZrAl2 (PBE, optimized geometry)
data_La2ZrAl2
_space_group_name_H-M_alt 'P 4/m b m'
_space_group_IT_number 127
_space_group_name_Hall '-P 4 2ab'
_cell_length_a 8.9568
_cell_length_b 8.9568
_cell_length_c 3.2993
_cell_angle_alpha 90.00
_cell_angle_beta 90.00
_cell_angle_gamma 90.00
loop_
_atom_site_label
_atom_site_type_symbol
_atom_site_fract_x
_atom_site_fract_y
_atom_site_fract_z
La1 La 0.1180 0.3820 0.0000
Zr1 Zr 0.0000 0.0000 0.0000
Al1 Al 0.1779 0.6779 0.5000
# Total DFT energy (no corrections) in eV per atom: -5.04
# Volume in Å³/atom: 26.47
# ΔE_f in eV/atom: 0.14
# Energy relative to the lowest polymorph listed for this composition in meV per atom: 308



No. 13
# LaZrAl2 (PBE, optimized geometry)
data_LaZrAl2
_space_group_name_H-M_alt 'F m -3 m'
_space_group_IT_number 225
_space_group_name_Hall '-F 4 2 3'
_cell_length_a 7.1800
_cell_length_b 7.1800
_cell_length_c 7.1800
_cell_angle_alpha 90.00
_cell_angle_beta 90.00
_cell_angle_gamma 90.00
loop_
_atom_site_label
_atom_site_type_symbol
_atom_site_fract_x
_atom_site_fract_y
_atom_site_fract_z
La1 La 0.0000 0.0000 0.0000
Zr1 Zr 0.0000 0.0000 0.5000
Al1 Al 0.2500 0.2500 0.2500
# Total DFT energy (no corrections) in eV per atom: -5.46
# Volume in Å³/atom: 23.13
# ΔE_f in eV/atom: -0.22
# Energy relative to the lowest polymorph listed for this composition in meV per atom: 141